(1)
GGA-PBE Ba8AsP3I4, optimized geometry; SG = R-3m, No. 166; total moment = 0.00 μB per cell; raw formation energy = -1.440 eV/atom
1.0
9.588 0.000 0.000
0.000 10.065 0.334
-4.794 -4.794 6.780
Ba As P I
8 1 3 4
direct
0.236 0.700 0.965
0.236 0.700 0.471
0.267 0.302 0.534
0.729 0.700 0.965
0.271 0.300 0.035
0.733 0.698 0.466
0.764 0.300 0.529
0.764 0.300 0.035
0.000 0.500 0.000
0.500 0.500 0.000
0.500 0.500 0.500
0.000 0.500 0.500
0.500 0.000 0.000
0.500 0.000 0.500
0.000 0.000 0.000
0.000 0.000 0.500

---

(2)
GGA-PBE Ca4Ag2Au5, optimized geometry; SG = P2/m, No. 10; total moment = 0.00 μB per cell; calculated total energy = -3.325 eV/atom
1.0
-0.637 -3.649 -1.827
6.149 1.003 -4.147
4.402 -3.872 6.200
Ca Ag Au
4 2 5
direct
0.500 0.742 0.610
0.500 0.230 0.877
0.500 0.258 0.390
0.500 0.770 0.123
0.000 0.086 0.639
0.000 0.914 0.361
0.000 0.547 0.337
0.000 0.146 0.123
0.000 0.500 0.000
0.000 0.854 0.877
0.000 0.453 0.663

---

(3)
GGA-PBE Th5Ge4Bi, optimized geometry; SG = C2/m, No. 12; total moment = 0.00 μB per cell; calculated total energy = -6.694 eV/atom
1.0
-4.276 -0.746 -0.358
-0.896 -4.797 -5.779
-1.037 -8.768 4.175
Th Ge Bi
5 4 1
direct
0.205 0.904 0.686
0.795 0.096 0.314
0.391 0.328 0.891
0.000 0.500 0.500
0.609 0.672 0.109
0.596 0.204 0.604
0.204 0.389 0.204
0.796 0.611 0.796
0.404 0.796 0.396
0.000 0.000 0.000

---

(4)
GGA-PBE NdY2Pd, optimized geometry; SG = R-3m, No. 166; total moment = 0.00 μB per cell; relative energy among the computed polymorphs = 128 kJ/mol of formula units
1.0
3.612 0.000 0.000
1.806 3.128 0.000
1.806 1.043 10.840
Y Nd Pd
2 1 1
direct
0.107 0.107 0.679
0.893 0.893 0.321
0.000 0.000 0.000
0.500 0.500 0.500

---

(5)
GGA-PBE LiP2Rh, optimized geometry; SG = R-3m, No. 166; total moment = 0.00 μB per cell; relative energy among the computed polymorphs = 55 kJ/mol of formula units
1.0
-6.514 2.773 -2.624
-6.511 -0.054 -3.823
-7.481 0.392 -0.944
Li P Rh
1 2 1
direct
0.750 0.750 0.750
0.993 0.993 0.993
0.507 0.507 0.507
0.250 0.250 0.250

---

(6)
GGA-PBE Sr2AgO, optimized geometry; SG = R-3m, No. 166; total moment = 0.00 μB per cell; raw formation energy = -1.273 eV/atom
1.0
3.844 0.000 0.000
1.922 3.329 0.000
1.922 1.110 7.844
Sr O Ag
2 1 1
direct
0.230 0.230 0.311
0.770 0.770 0.689
0.500 0.500 0.500
0.000 0.000 0.000

---

(7)
GGA-PBE Pa2MnTl2S6, optimized geometry; SG = C2/m, No. 12; total moment = 2.97 μB per cell; raw formation energy = -1.082 eV/atom
1.0
-2.183 4.498 -4.563
-4.430 -3.896 3.319
1.589 5.124 5.910
Pa Mn Tl S
2 1 2 6
direct
0.336 0.664 0.500
0.664 0.336 0.500
0.000 0.000 0.500
0.836 0.164 0.000
0.164 0.836 0.000
0.743 0.743 0.690
0.060 0.394 0.692
0.257 0.257 0.310
0.394 0.060 0.692
0.940 0.606 0.308
0.606 0.940 0.308

---

(8)
GGA-PBE KNa2MgHg, optimized geometry; SG = P4/mmm, No. 123; total moment = 0.00 μB per cell; calculated total energy = -1.152 eV/atom
1.0
-3.099 -2.117 -4.645
-1.687 -4.704 3.269
-4.363 2.724 1.669
Mg Na K Hg
1 2 1 1
direct
0.000 0.000 0.500
0.000 0.500 0.000
0.500 0.000 0.000
0.500 0.500 0.500
0.000 0.000 0.000

---

(9)
GGA-PBE Rb3Na2I3Cl2, optimized geometry; SG = I4/mmm, No. 139; total moment = 0.00 μB per cell; raw formation energy = -1.577 eV/atom
1.0
-2.988 2.609 -3.451
-2.774 -4.374 -0.905
-6.917 4.737 13.576
Rb Na I Cl
3 2 3 2
direct
0.882 0.882 0.764
0.500 0.500 0.000
0.118 0.118 0.236
0.750 0.250 0.500
0.250 0.750 0.500
0.624 0.624 0.248
0.376 0.376 0.752
0.000 0.000 0.000
0.775 0.775 0.550
0.225 0.225 0.450

---

(10)
GGA-PBE Ac5Pm2NdDy, optimized geometry; SG = Cmcm, No. 63; total moment = 0.00 μB per cell; calculated total energy = -4.242 eV/atom
1.0
5.821 0.000 0.000
-2.910 11.443 0.000
0.000 0.000 11.078
Ac Pm Nd Dy
10 4 2 2
direct
0.371 0.743 0.008
0.718 0.437 0.822
0.500 0.000 0.758
0.282 0.563 0.694
0.001 0.003 0.508
0.629 0.257 0.508
0.282 0.563 0.322
0.500 0.000 0.258
0.718 0.437 0.194
0.999 0.997 0.008
0.886 0.773 0.756
0.114 0.227 0.761
0.114 0.227 0.256
0.886 0.773 0.261
0.598 0.196 0.008
0.402 0.804 0.508
0.795 0.589 0.508
0.205 0.411 0.008

---

(11)
GGA-PBE CrTcRh6, optimized geometry; SG = R-3m, No. 166; total moment = 0.00 μB per cell; relative energy among the computed polymorphs = 542 kJ/mol of formula units
1.0
5.055 0.125 0.141
-0.428 5.038 0.141
-0.428 -0.478 5.018
Cr Tc Rh
1 1 6
direct
0.500 0.500 0.500
0.000 0.000 0.000
0.181 0.566 0.181
0.181 0.181 0.566
0.819 0.434 0.819
0.434 0.819 0.819
0.819 0.819 0.434
0.566 0.181 0.181

---

(12)
GGA-PBE VSbSe2Br, optimized geometry; SG = P4/mmm, No. 123; total moment = 2.59 μB per cell; relative energy among the computed polymorphs = 0 kJ/mol of formula units; raw formation energy = -0.027 eV/atom
1.0
-1.174 4.718 -1.016
-4.789 -1.268 -0.351
-0.591 0.894 4.835
Sb Se Br V
1 2 1 1
direct
0.500 0.500 0.500
0.000 0.500 0.000
0.500 0.000 0.000
0.000 0.000 0.500
0.000 0.000 0.000

---

(13)
GGA-PBE Ti4MnIr, optimized geometry; SG = P4/mmm, No. 123; total moment = 0.41 μB per cell; relative energy among the computed polymorphs = 0 kJ/mol of formula units
1.0
-0.373 -0.076 3.033
2.987 -0.546 0.353
1.675 9.444 0.442
Ti Mn Ir
4 1 1
direct
0.500 0.500 0.852
0.500 0.500 0.148
0.000 0.000 0.666
0.000 0.000 0.334
0.000 0.000 0.000
0.500 0.500 0.500

---

(14)
GGA-PBE AlAu, optimized geometry; SG = P-3m1, No. 164; total moment = 0.00 μB per cell; calculated total energy = -3.646 eV/atom
1.0
-0.112 -3.087 -0.154
1.380 1.612 -2.250
7.317 -0.472 4.150
Au Al
2 2
direct
0.000 0.000 0.482
0.667 0.333 0.768
0.000 0.000 0.000
0.667 0.333 0.250

---

(15)
GGA-PBE Dy2YErS4, optimized geometry; SG = P2/m, No. 10; total moment = 0.00 μB per cell; raw formation energy = -1.982 eV/atom
1.0
3.867 0.000 0.000
0.000 6.768 -0.164
0.000 2.372 6.344
Dy Y Er S
2 1 1 4
direct
0.000 0.000 0.000
0.500 0.000 0.500
0.500 0.500 0.000
0.000 0.500 0.500
0.000 0.749 0.748
0.000 0.251 0.252
0.500 0.748 0.253
0.500 0.252 0.747

---

(16)
GGA-PBE Er2ZnOs, optimized geometry; SG = Fm-3m, No. 225; total moment = 0.00 μB per cell; relative energy among the computed polymorphs = 9 kJ/mol of formula units
1.0
-1.243 -0.250 4.695
0.720 -4.115 2.490
3.450 -0.199 3.422
Er Zn Os
2 1 1
direct
0.250 0.250 0.250
0.750 0.750 0.750
0.000 0.000 0.000
0.500 0.500 0.500